Record 1
The following is a DFT calculation (SCAN) of NiHC2N at its PBEsol-relaxed geometry.

The structure in POSCAR format:
```
NiHC2N
1.0
2.413 0.000 0.000
0.000 3.578 0.000
0.000 0.000 3.578
Ni N C H
1 1 2 1
direct
0.500 0.500 0.500 Ni
0.000 0.000 0.000 N
0.000 0.500 0.000 C
0.000 0.000 0.500 C
0.500 0.000 0.000 H
```

Space-group type: P4/mmm (123)
Energy, eV/atom: -7.981
Total magnetic moment, Bohr magnetons per cell: 0.00
DOS at the Fermi energy, states/eV per cell: 1.5

---

Record 2
The following is a DFT calculation (SCAN) of NiTeAs2 at its PBEsol-relaxed geometry.

The structure in POSCAR format:
```
NiTeAs2
1.0
-2.692 4.993 -1.118
0.653 -0.918 -5.671
-3.909 -4.725 3.263
As Te Ni
4 2 2
direct
0.625 0.541 0.750 As
0.459 0.875 0.250 As
0.791 0.375 0.250 As
0.125 0.209 0.750 As
0.250 0.750 0.500 Te
0.000 0.000 0.000 Te
0.500 0.500 0.000 Ni
0.750 0.250 0.500 Ni
```

E_form (uncorrected), eV/atom: 0.07
Space-group type: I-42d (122)
Total magnetic moment, Bohr magnetons per cell: 0.00
DOS at the Fermi energy, states/eV per cell: 2.6

---

Record 3
The following is a DFT calculation (SCAN) of PbAuO2 at its PBEsol-relaxed geometry.

The structure in POSCAR format:
```
PbAuO2
1.0
3.565 0.000 0.000
0.000 6.486 -0.003
-1.782 -0.993 6.160
Pb O Au
2 4 2
direct
0.500 0.000 0.000 Pb
0.000 0.500 0.000 Pb
0.588 0.734 0.176 O
0.088 0.174 0.177 O
0.912 0.826 0.823 O
0.412 0.266 0.824 O
0.750 0.790 0.499 Au
0.250 0.210 0.501 Au
```

E_form (uncorrected), eV/atom: -0.62
Space-group type: C2/m (12)
Total magnetic moment, Bohr magnetons per cell: 0.00
DOS at the Fermi energy, states/eV per cell: 2.8

---

Record 4
The following is a DFT calculation (SCAN) of ZrZn2Au at its PBEsol-relaxed geometry.

The structure in POSCAR format:
```
ZrZn2Au
1.0
-0.778 -3.885 0.784
2.034 0.294 3.480
-3.468 1.085 1.936
Au Zn Zr
1 2 1
direct
0.000 0.500 0.500 Au
0.500 0.500 0.000 Zn
0.000 0.000 0.000 Zn
0.500 0.000 0.500 Zr
```

Space-group type: P4/mmm (123)
Energy, eV/atom: -32.122
Total magnetic moment, Bohr magnetons per cell: 0.00
DOS at the Fermi energy, states/eV per cell: 3.1

---

Which value of DOS at the Fermi energy does entry 2 give? 2.6 states/eV per cell